# MnCd3F6 GGA+U relaxed
# total DFT energy (no corrections)	-4.06	eV/atom
data_MnCd3F6
_chemical_formula_sum 'Mn1 Cd3 F6'
_cell_length_a 5.032
_cell_length_b 5.735
_cell_length_c 6.533
_cell_angle_alpha 88.69
_cell_angle_beta 89.00
_cell_angle_gamma 76.65
_space_group_name_H-M_alt 'P -1'
_space_group_IT_number 2
loop_
_space_group_symop_operation_xyz
'x,y,z'
'-x,-y,-z'
loop_
_atom_site_label
_atom_site_type_symbol
_atom_site_fract_x
_atom_site_fract_y
_atom_site_fract_z
Mn1 Mn 0.000 0.000 0.000
Cd1 Cd 0.000 0.000 0.500
Cd2 Cd 0.000 0.500 0.500
Cd3 Cd 0.500 0.500 0.000
F1 F 0.217 0.270 0.002
F2 F 0.248 0.791 0.237
F3 F 0.254 0.798 0.761